Record 1
SrMg4In2 | PBE-GGA | relaxed

Cell and atoms, written as CIF:
```
data_SrMg4In2
_cell_length_a 8.8590
_cell_length_b 8.8590
_cell_length_c 4.7810
_cell_angle_alpha 90.00
_cell_angle_beta 90.00
_cell_angle_gamma 90.00
_space_group_name_H-M_alt 'P 42/m n m'
_space_group_IT_number 136
_space_group_name_Hall '-P 4n 2n'
loop_
_atom_site_label
_atom_site_fract_x
_atom_site_fract_y
_atom_site_fract_z
_atom_site_occupancy
Sr1 0.0000 0.0000 0.0000 1
Mg1 0.0938 0.3464 0.5000 1
In1 0.2161 0.7839 0.5000 1
```

## Properties
Formation energy from the elements = -0.199 eV/atom
Energy above the most stable polymorph in this dataset = 0.00 kcal/mol of atoms
Volume = 375.2 Å³ per cell
Mass density = 3.669 Mg/m³
Uncorrected energy = -29.9 eV per cell

=====

Record 2
Sr3Mg3In2 | PBE-GGA | relaxed

Cell and atoms, written as CIF:
```
data_Sr3Mg3In2
_cell_length_a 9.2599
_cell_length_b 17.6515
_cell_length_c 6.5240
_cell_angle_alpha 90.00
_cell_angle_beta 90.00
_cell_angle_gamma 90.00
_space_group_name_H-M_alt 'P n m a'
_space_group_IT_number 62
loop_
_space_group_symop_operation_xyz
'x,y,z'
'-x,-y,-z'
'-x+1/2,-y,z+1/2'
'x+1/2,y,-z+1/2'
'x+1/2,-y+1/2,-z+1/2'
'-x+1/2,y+1/2,z+1/2'
'-x,y+1/2,-z'
'x,-y+1/2,z'
loop_
_atom_site_label
_atom_site_fract_x
_atom_site_fract_y
_atom_site_fract_z
_atom_site_occupancy
Sr1 0.0402 0.1075 0.1204 1
Sr2 0.1688 0.2500 0.6357 1
Mg1 0.1710 0.7500 0.6277 1
Mg2 0.1783 0.0346 0.6091 1
In1 0.1113 0.6082 0.3775 1
```

## Properties
Formation energy from the elements = -0.231 eV/atom
Volume = 1066.4 Å³ per cell
Mass density = 3.522 Mg/m³
Uncorrected energy = -68.6 eV per cell

=====

Record 3
SrMgIn3 | PBE-GGA | relaxed

Cell and atoms, written as CIF:
```
data_SrMgIn3
_cell_length_a 4.7610
_cell_length_b 4.7610
_cell_length_c 12.7239
_cell_angle_alpha 90.00
_cell_angle_beta 90.00
_cell_angle_gamma 90.00
_space_group_name_H-M_alt 'I 4 m m'
_space_group_IT_number 107
_space_group_name_Hall 'I 4 -2'
loop_
_atom_site_label
_atom_site_fract_x
_atom_site_fract_y
_atom_site_fract_z
_atom_site_occupancy
Sr1 0.0000 0.0000 0.0000 1
Mg1 0.0000 0.0000 0.6198 1
In1 0.0000 0.0000 0.4003 1
In2 0.0000 0.5000 0.2545 1
```

## Properties
Formation energy from the elements = -0.269 eV/atom
Volume = 288.4 Å³ per cell
Mass density = 5.255 Mg/m³
Uncorrected energy = -25.7 eV per cell